First-principles (PBEsol) data for a geometry-optimized MnTeRu structure, as listed in the Alexandria database.

## Properties
Its excess energy over the best structure of this formula in the dataset is 0.0 meV/atom. As for the space group: F-43m (216).

Cell: 4.235 4.235 4.235 Å, 60.00 60.00 60.00°
Site moments in Bohr magnetons follow the coordinates.
Fractional positions:
Mn  0.500  0.500  0.500  3.20
Ru  0.250  0.250  0.250  -0.25
Te  0.000  0.000  0.000  -0.04

=====

First-principles (PBEsol) data for a geometry-optimized MnTe3Ru structure, as listed in the Alexandria database.

## Properties
The total DFT energy (no corrections) is -5.2974 eV/atom. As for the space group: Pm-3m (221).

Cell: 5.140 5.140 5.140 Å, 90.00 90.00 90.00°
Site moments in Bohr magnetons follow the coordinates.
Fractional positions:
Ru  0.000  0.000  0.000  -0.68
Te  0.000  0.500  0.000  -0.13
Te  0.000  0.000  0.500  -0.13
Te  0.500  0.000  0.000  -0.13
Mn  0.500  0.500  0.500  4.40

=====

First-principles (PBEsol) data for a geometry-optimized MnTeRu structure, as listed in the Alexandria database.

## Properties
Its excess energy over the best structure of this formula in the dataset is 262.2 meV/atom. As for the space group: Imm2 (44).

Cell: 3.193 3.769 4.696 Å, 113.66 109.88 90.00°
Site moments in Bohr magnetons follow the coordinates.
Fractional positions:
Mn  0.008  0.008  0.016  3.39
Ru  0.662  0.662  0.324  0.22
Te  0.330  0.330  0.660  -0.04